Record 1
Material: TlInOs2
Method: DFT, GGA-PBEsol
State: relaxed

The space group is F-43m (No. 216) and the conventional cell measures 6.519, 6.519 and 6.519 Å, with angles of 90.00, 90.00 and 90.00 degrees. The inequivalent atoms are Tl at (0.000, 0.000, 0.000), In at (0.250, 0.250, 0.750), Os at (0.000, 0.000, 0.500) and Os at (0.250, 0.250, 0.250).

The crystal system is cubic. As for the density of states at the Fermi level: 1.13 states/eV/atom. As for the offset from the most stable computed form: 640.2 meV/atom. Its energy relative to the elements is 1.0758 eV/atom. The total magnetization is 0.00 μB per cell.



Record 2
Material: AgBRu3
Method: DFT, GGA-PBEsol
State: relaxed

The space group is Pm-3m (No. 221) and the conventional cell measures 4.046, 4.046 and 4.046 Å, with angles of 90.00, 90.00 and 90.00 degrees. The inequivalent atoms are Ag at (0.000, 0.000, 0.000), B at (0.500, 0.500, 0.500) and Ru at (0.000, 0.500, 0.500).

The crystal system is cubic. As for the density of states at the Fermi level: 0.98 states/eV/atom. Its energy relative to the elements is 0.4229 eV/atom. The total magnetization is 1.51 μB per cell.



Record 3
Material: BaTa2Al
Method: DFT, GGA-PBEsol
State: relaxed

The space group is Immm (No. 71) and the conventional cell measures 2.859, 5.483 and 11.284 Å, with angles of 90.00, 90.00 and 90.00 degrees. The inequivalent atoms are Ba at (0.000, 0.000, 0.000), Ta at (0.000, 0.500, 0.217) and Al at (0.000, 0.000, 0.500).

The crystal system is orthorhombic. As for the density of states at the Fermi level: 0.97 states/eV/atom. Its energy relative to the elements is 0.7283 eV/atom. The total magnetization is 0.00 μB per cell.



Record 4
Material: CsSrBr3
Method: DFT, GGA-PBEsol
State: relaxed

The space group is Pnma (No. 62) and the conventional cell measures 8.409, 11.644 and 8.078 Å, with angles of 90.00, 90.00 and 90.00 degrees. The inequivalent atoms are Cs at (0.061, 0.250, 0.020), Sr at (0.000, 0.000, 0.500), Br at (0.019, 0.750, 0.418) and Br at (0.206, 0.543, 0.797).

As for the formation energy without anion corrections: -1.999 eV/atom. The crystal system is orthorhombic. As for the density of states at the Fermi level: 0.00 states/eV/atom. The total magnetization is 0.00 μB per cell.



Record 5
Material: Li2RhAu
Method: DFT, GGA-PBEsol
State: relaxed

The space group is Immm (No. 71) and the conventional cell measures 3.029, 4.437 and 8.248 Å, with angles of 90.00, 90.00 and 90.00 degrees. The inequivalent atoms are Li at (0.000, 0.000, 0.247), Rh at (0.000, 0.500, 0.500) and Au at (0.000, 0.500, 0.000).

The crystal system is orthorhombic. As for the density of states at the Fermi level: 0.40 states/eV/atom. Its energy relative to the elements is -0.2457 eV/atom. The total magnetization is 0.00 μB per cell.



Record 6
Material: Co21B6W2
Method: DFT, GGA-PBEsol
State: relaxed

The space group is Fm-3m (No. 225) and the conventional cell measures 10.307, 10.307 and 10.307 Å, with angles of 90.00, 90.00 and 90.00 degrees. The inequivalent atoms are Co at (0.000, 0.000, 0.000), Co at (0.000, 0.169, 0.169), Co at (0.118, 0.118, 0.382), B at (0.000, 0.000, 0.274) and W at (0.250, 0.250, 0.250).

The crystal system is cubic. As for the density of states at the Fermi level: 0.99 states/eV/atom. Its energy relative to the elements is -0.2721 eV/atom. The total magnetization is 64.86 μB per cell.



Record 7
Material: CuRh
Method: DFT, GGA-PBEsol
State: relaxed

The space group is Cm (No. 8) and the conventional cell measures 9.684, 2.647 and 6.119 Å, with angles of 90.00, 105.34 and 90.00 degrees. The inequivalent atoms are Cu at (0.000, 0.000, 0.000), Cu at (0.052, 0.000, 0.605), Cu at (0.155, 0.500, 0.329), Rh at (0.220, 0.500, 0.938), Rh at (0.330, 0.000, 0.663) and Rh at (0.380, 0.000, 0.274).

The crystal system is monoclinic. As for the density of states at the Fermi level: 1.44 states/eV/atom. Its energy relative to the elements is 0.0958 eV/atom. The total magnetization is 0.02 μB per cell.



Record 8
Material: BaTe2As
Method: DFT, GGA-PBEsol
State: relaxed

The space group is I-4m2 (No. 119) and the conventional cell measures 4.631, 4.631 and 10.821 Å, with angles of 90.00, 90.00 and 90.00 degrees. The inequivalent atoms are Ba at (0.000, 0.000, 0.000), Te at (0.000, 0.000, 0.500), Te at (0.000, 0.500, 0.250) and As at (0.000, 0.500, 0.750).

As for the formation energy without anion corrections: -0.523 eV/atom. The crystal system is tetragonal. As for the density of states at the Fermi level: 0.63 states/eV/atom. The total magnetization is 0.00 μB per cell.



Record 9
Material: CaY2Sb
Method: DFT, GGA-PBEsol
State: relaxed

The space group is Immm (No. 71) and the conventional cell measures 4.023, 5.251 and 11.209 Å, with angles of 90.00, 90.00 and 90.00 degrees. The inequivalent atoms are Ca at (0.000, 0.000, 0.000), Y at (0.000, 0.500, 0.210) and Sb at (0.000, 0.000, 0.500).

As for the formation energy without anion corrections: -0.503 eV/atom. The crystal system is orthorhombic. As for the density of states at the Fermi level: 0.93 states/eV/atom. As for the offset from the most stable computed form: 0.0 meV/atom. The total magnetization is 0.00 μB per cell.



Record 10
Material: BeAlFe6
Method: DFT, GGA-PBEsol
State: relaxed

The space group is Cmmm (No. 65) and the conventional cell measures 5.765, 10.866 and 10.874 Å, with angles of 90.00, 90.00 and 90.00 degrees. The inequivalent atoms are Be at (0.000, 0.000, 0.239), Be at (0.000, 0.255, 0.000), Al at (0.000, 0.255, 0.500), Al at (0.000, 0.500, 0.241), Fe at (0.000, 0.000, 0.000), Fe at (0.000, 0.000, 0.500), Fe at (0.000, 0.252, 0.246), Fe at (0.000, 0.500, 0.000), Fe at (0.000, 0.500, 0.500), Fe at (0.239, 0.121, 0.368) and Fe at (0.241, 0.129, 0.118).

The crystal system is orthorhombic. As for the density of states at the Fermi level: 1.07 states/eV/atom. Its energy relative to the elements is -0.0800 eV/atom. The total magnetization is 92.11 μB per cell.



Record 11
Material: K2LaTe
Method: DFT, GGA-PBEsol
State: relaxed

The space group is R-3m (No. 166, hexagonal axes) and the conventional cell measures 3.7626, 3.7626 and 38.5593 Å, with angles of 90.00, 90.00 and 120.00 degrees. The inequivalent atoms are K at (0.0000, 0.0000, 0.2345), La at (0.0000, 0.0000, 0.0000) and Te at (0.0000, 0.0000, 0.5000).

As for the formation energy without anion corrections: -0.030 eV/atom. The crystal system is trigonal. As for the density of states at the Fermi level: 1.51 states/eV/atom. The total magnetization is 0.01 μB per cell.



Record 12
Material: Mg2ScHg
Method: DFT, GGA-PBEsol
State: relaxed

The space group is Amm2 (No. 38) and the conventional cell measures 4.611, 3.209 and 11.655 Å, with angles of 90.00, 90.00 and 90.00 degrees. The inequivalent atoms are Mg at (0.000, 0.000, 0.000), Mg at (0.500, 0.000, 0.393), Sc at (0.500, 0.000, 0.657) and Hg at (0.000, 0.000, 0.251).

The crystal system is orthorhombic. As for the density of states at the Fermi level: 0.56 states/eV/atom. Its energy relative to the elements is -0.2353 eV/atom. The total magnetization is 0.00 μB per cell.



What is the formula in the first record? TlInOs2